A plane-wave DFT calculation with PBE with a Hubbard U was carried out for an optimized crystal structure of MoCNO2.

D(E_F)   0.582 states/eV per atom
Calculated total energy   -5.89 eV/atom
Total magnetization   1.00 μB/f.u.

Cell lengths 3.8337, 3.8337, 4.0952 Å; angles 90.00, 90.00, 90.00 degrees
Positions (direct):
1 Mo 0.0000 0.0000 0.0000
2 C 0.5000 0.5000 0.5000
3 N 0.0000 0.0000 0.5000
4 O 0.0000 0.5000 0.0000
5 O 0.5000 0.0000 0.0000